No. 1
# Al2ZnAgBi, optimized geometry, DFT PBE
# VASP energy, eV for the cell shown: -13.4
data_Al2ZnAgBi
_space_group_name_H-M_alt 'P 4/m m m'
_space_group_IT_number 123
_space_group_name_Hall '-P 4 2'
_cell_length_a 4.993
_cell_length_b 4.993
_cell_length_c 4.846
_cell_angle_alpha 90.00
_cell_angle_beta 90.00
_cell_angle_gamma 90.00
loop_
_atom_site_label
_atom_site_type_symbol
_atom_site_fract_x
_atom_site_fract_y
_atom_site_fract_z
_atom_site_occupancy
Al1 Al 0.000 0.500 0.000 1
Zn1 Zn 0.000 0.000 0.500 1
Ag1 Ag 0.000 0.000 0.000 1
Bi1 Bi 0.500 0.500 0.500 1

=====

No. 2
# AlAgBr3, optimized geometry, DFT PBE
# ΔE_f (raw), eV per atom: -0.093
# Energy relative to the lowest polymorph listed for this composition, meV/atom: 236
data_AlAgBr3
_space_group_name_H-M_alt 'P m -3 m'
_space_group_IT_number 221
_space_group_name_Hall '-P 4 2 3'
_cell_length_a 5.349
_cell_length_b 5.349
_cell_length_c 5.349
_cell_angle_alpha 90.00
_cell_angle_beta 90.00
_cell_angle_gamma 90.00
loop_
_atom_site_label
_atom_site_type_symbol
_atom_site_fract_x
_atom_site_fract_y
_atom_site_fract_z
_atom_site_occupancy
Al1 Al 0.000 0.000 0.000 1
Ag1 Ag 0.500 0.500 0.500 1
Br1 Br 0.000 0.500 0.500 1

=====

No. 3
# Al2AgBr6, optimized geometry, DFT PBE
# ΔE_f (raw), eV per atom: -0.741
data_Al2AgBr6
_space_group_name_H-M_alt 'C 1 2/m 1'
_space_group_IT_number 12
_cell_length_a 13.173
_cell_length_b 4.395
_cell_length_c 11.175
_cell_angle_alpha 90.00
_cell_angle_beta 95.05
_cell_angle_gamma 90.00
loop_
_space_group_symop_operation_xyz
'x,y,z'
'-x,-y,-z'
'-x,y,-z'
'x,-y,z'
'x+1/2,y+1/2,z'
'-x+1/2,-y+1/2,-z'
'-x+1/2,y+1/2,-z'
'x+1/2,-y+1/2,z'
loop_
_atom_site_label
_atom_site_type_symbol
_atom_site_fract_x
_atom_site_fract_y
_atom_site_fract_z
_atom_site_occupancy
Al1 Al 0.206 0.000 0.236 1
Ag1 Ag 0.000 0.500 0.500 1
Br1 Br 0.116 0.500 0.730 1
Br2 Br 0.130 0.000 0.421 1
Br3 Br 0.159 0.500 0.139 1

=====

No. 4
# AlAgBr, optimized geometry, DFT PBE
# ΔE_f (raw), eV per atom: 0.020
# Energy relative to the lowest polymorph listed for this composition, meV/atom: 139
data_AlAgBr
_space_group_name_H-M_alt 'I 4 m m'
_space_group_IT_number 107
_space_group_name_Hall 'I 4 -2'
_cell_length_a 3.344
_cell_length_b 3.344
_cell_length_c 11.572
_cell_angle_alpha 90.00
_cell_angle_beta 90.00
_cell_angle_gamma 90.00
loop_
_atom_site_label
_atom_site_type_symbol
_atom_site_fract_x
_atom_site_fract_y
_atom_site_fract_z
_atom_site_occupancy
Al1 Al 0.000 0.000 0.000 1
Ag1 Ag 0.000 0.000 0.623 1
Br1 Br 0.000 0.000 0.331 1

=====

No. 5
# AlAg3Br, optimized geometry, DFT PBE
# ΔE_f (raw), eV per atom: 0.460
# Energy relative to the lowest polymorph listed for this composition, meV/atom: 0
data_AlAg3Br
_space_group_name_H-M_alt 'P m -3 m'
_space_group_IT_number 221
_space_group_name_Hall '-P 4 2 3'
_cell_length_a 5.027
_cell_length_b 5.027
_cell_length_c 5.027
_cell_angle_alpha 90.00
_cell_angle_beta 90.00
_cell_angle_gamma 90.00
loop_
_atom_site_label
_atom_site_type_symbol
_atom_site_fract_x
_atom_site_fract_y
_atom_site_fract_z
_atom_site_occupancy
Al1 Al 0.000 0.000 0.000 1
Ag1 Ag 0.000 0.000 0.500 1
Br1 Br 0.500 0.500 0.500 1

=====

No. 6
# AlAg2Br6, optimized geometry, DFT PBE
# ΔE_f (raw), eV per atom: -0.602
data_AlAg2Br6
_space_group_name_H-M_alt 'C 1 2/c 1'
_space_group_IT_number 15
_cell_length_a 15.569
_cell_length_b 13.437
_cell_length_c 7.656
_cell_angle_alpha 90.00
_cell_angle_beta 118.96
_cell_angle_gamma 90.00
loop_
_space_group_symop_operation_xyz
'x,y,z'
'-x,-y,-z'
'-x,y,-z+1/2'
'x,-y,z+1/2'
'x+1/2,y+1/2,z'
'-x+1/2,-y+1/2,-z'
'-x+1/2,y+1/2,-z+1/2'
'x+1/2,-y+1/2,z+1/2'
loop_
_atom_site_label
_atom_site_type_symbol
_atom_site_fract_x
_atom_site_fract_y
_atom_site_fract_z
_atom_site_occupancy
Al1 Al 0.000 0.242 0.250 1
Ag1 Ag 0.241 0.446 0.476 1
Br1 Br 0.092 0.342 0.152 1
Br2 Br 0.095 0.142 0.527 1
Br3 Br 0.237 0.393 0.792 1

=====

No. 7
# AlAgBr, optimized geometry, DFT PBE
# ΔE_f (raw), eV per atom: -0.119
# Energy relative to the lowest polymorph listed for this composition, meV/atom: 0
data_AlAgBr
_space_group_name_H-M_alt 'A m m 2'
_space_group_IT_number 38
_cell_length_a 14.590
_cell_length_b 3.362
_cell_length_c 5.822
_cell_angle_alpha 90.00
_cell_angle_beta 90.00
_cell_angle_gamma 90.00
loop_
_space_group_symop_operation_xyz
'x,y,z'
'-x,-y,z'
'-x,y,z'
'x,-y,z'
'x,y+1/2,z+1/2'
'-x,-y+1/2,z+1/2'
'-x,y+1/2,z+1/2'
'x,-y+1/2,z+1/2'
loop_
_atom_site_label
_atom_site_type_symbol
_atom_site_fract_x
_atom_site_fract_y
_atom_site_fract_z
_atom_site_occupancy
Al1 Al 0.129 0.000 0.000 1
Ag1 Ag 0.000 0.000 0.333 1
Ag2 Ag 0.500 0.000 0.293 1
Br1 Br 0.252 0.000 0.666 1

=====

No. 8
# AlAgBr3, optimized geometry, DFT PBE
# ΔE_f (raw), eV per atom: -0.329
# Energy relative to the lowest polymorph listed for this composition, meV/atom: 0
data_AlAgBr3
_space_group_name_H-M_alt 'P m -3 m'
_space_group_IT_number 221
_space_group_name_Hall '-P 4 2 3'
_cell_length_a 5.169
_cell_length_b 5.169
_cell_length_c 5.169
_cell_angle_alpha 90.00
_cell_angle_beta 90.00
_cell_angle_gamma 90.00
loop_
_atom_site_label
_atom_site_type_symbol
_atom_site_fract_x
_atom_site_fract_y
_atom_site_fract_z
_atom_site_occupancy
Al1 Al 0.000 0.000 0.000 1
Ag1 Ag 0.500 0.500 0.500 1
Br1 Br 0.000 0.000 0.500 1

=====

No. 9
# AlAgBr, optimized geometry, DFT PBE
# ΔE_f (raw), eV per atom: 0.275
# Energy relative to the lowest polymorph listed for this composition, meV/atom: 394
data_AlAgBr
_space_group_name_H-M_alt 'F -4 3 m'
_space_group_IT_number 216
_space_group_name_Hall 'F -4 2 3'
_cell_length_a 6.857
_cell_length_b 6.857
_cell_length_c 6.857
_cell_angle_alpha 90.00
_cell_angle_beta 90.00
_cell_angle_gamma 90.00
loop_
_atom_site_label
_atom_site_type_symbol
_atom_site_fract_x
_atom_site_fract_y
_atom_site_fract_z
_atom_site_occupancy
Al1 Al 0.000 0.000 0.000 1
Ag1 Ag 0.250 0.250 0.250 1
Br1 Br 0.250 0.250 0.750 1

=====

No. 10
# AlAgBr, optimized geometry, DFT PBE
# ΔE_f (raw), eV per atom: -0.119
# Energy relative to the lowest polymorph listed for this composition, meV/atom: 0
data_AlAgBr
_space_group_name_H-M_alt 'P 3 m 1'
_space_group_IT_number 156
_cell_length_a 3.6404
_cell_length_b 3.6404
_cell_length_c 6.0021
_cell_angle_alpha 90.00
_cell_angle_beta 90.00
_cell_angle_gamma 120.00
loop_
_space_group_symop_operation_xyz
'x,y,z'
'-y,x-y,z'
'-x+y,-x,z'
'-y,-x,z'
'-x+y,y,z'
'x,x-y,z'
loop_
_atom_site_label
_atom_site_type_symbol
_atom_site_fract_x
_atom_site_fract_y
_atom_site_fract_z
_atom_site_occupancy
Al1 Al 0.0000 0.0000 0.0000 1
Ag1 Ag 0.3333 0.6667 0.7462 1
Br1 Br 0.6667 0.3333 0.3097 1

=====

No. 11
# AlAgBr, optimized geometry, DFT PBE
# ΔE_f (raw), eV per atom: 0.019
# Energy relative to the lowest polymorph listed for this composition, meV/atom: 138
data_AlAgBr
_space_group_name_H-M_alt 'F m m 2'
_space_group_IT_number 42
_space_group_name_Hall 'F 2 -2'
_cell_length_a 3.795
_cell_length_b 5.857
_cell_length_c 12.241
_cell_angle_alpha 90.00
_cell_angle_beta 90.00
_cell_angle_gamma 90.00
loop_
_atom_site_label
_atom_site_type_symbol
_atom_site_fract_x
_atom_site_fract_y
_atom_site_fract_z
_atom_site_occupancy
Al1 Al 0.000 0.000 0.000 1
Ag1 Ag 0.000 0.000 0.358 1
Br1 Br 0.000 0.000 0.666 1

=====

No. 12
# AlAgBr, optimized geometry, DFT PBE
# ΔE_f (raw), eV per atom: 0.506
# Energy relative to the lowest polymorph listed for this composition, meV/atom: 625
data_AlAgBr
_space_group_name_H-M_alt 'F -4 3 m'
_space_group_IT_number 216
_space_group_name_Hall 'F -4 2 3'
_cell_length_a 6.971
_cell_length_b 6.971
_cell_length_c 6.971
_cell_angle_alpha 90.00
_cell_angle_beta 90.00
_cell_angle_gamma 90.00
loop_
_atom_site_label
_atom_site_type_symbol
_atom_site_fract_x
_atom_site_fract_y
_atom_site_fract_z
_atom_site_occupancy
Al1 Al 0.000 0.000 0.000 1
Ag1 Ag 0.000 0.000 0.500 1
Br1 Br 0.250 0.250 0.250 1

=====

No. 13
# AlAg2Br6, optimized geometry, DFT PBE
# ΔE_f (raw), eV per atom: -0.600
data_AlAg2Br6
_space_group_name_H-M_alt 'P 1 21/c 1'
_space_group_IT_number 14
_cell_length_a 6.685
_cell_length_b 7.228
_cell_length_c 12.346
_cell_angle_alpha 90.00
_cell_angle_beta 116.08
_cell_angle_gamma 90.00
loop_
_space_group_symop_operation_xyz
'x,y,z'
'-x,-y,-z'
'-x,y+1/2,-z+1/2'
'x,-y+1/2,z+1/2'
loop_
_atom_site_label
_atom_site_type_symbol
_atom_site_fract_x
_atom_site_fract_y
_atom_site_fract_z
_atom_site_occupancy
Al1 Al 0.000 0.000 0.000 1
Ag1 Ag 0.355 0.137 0.842 1
Br1 Br 0.086 0.210 0.423 1
Br2 Br 0.233 0.681 0.429 1
Br3 Br 0.353 0.050 0.213 1

=====

No. 14
# AlCdAgBr2, optimized geometry, DFT PBE
# ΔE_f (raw), eV per atom: 0.078
data_AlCdAgBr2
_space_group_name_H-M_alt 'P 4/m m m'
_space_group_IT_number 123
_space_group_name_Hall '-P 4 2'
_cell_length_a 5.508
_cell_length_b 5.508
_cell_length_c 5.427
_cell_angle_alpha 90.00
_cell_angle_beta 90.00
_cell_angle_gamma 90.00
loop_
_atom_site_label
_atom_site_type_symbol
_atom_site_fract_x
_atom_site_fract_y
_atom_site_fract_z
_atom_site_occupancy
Al1 Al 0.000 0.000 0.000 1
Cd1 Cd 0.500 0.500 0.000 1
Ag1 Ag 0.500 0.500 0.500 1
Br1 Br 0.000 0.500 0.500 1

=====

No. 15
# Al2AgBrCl, optimized geometry, DFT PBE
# ΔE_f (raw), eV per atom: 0.394
data_Al2AgBrCl
_space_group_name_H-M_alt 'P 4/m m m'
_space_group_IT_number 123
_space_group_name_Hall '-P 4 2'
_cell_length_a 5.603
_cell_length_b 5.603
_cell_length_c 4.979
_cell_angle_alpha 90.00
_cell_angle_beta 90.00
_cell_angle_gamma 90.00
loop_
_atom_site_label
_atom_site_type_symbol
_atom_site_fract_x
_atom_site_fract_y
_atom_site_fract_z
_atom_site_occupancy
Al1 Al 0.000 0.500 0.000 1
Ag1 Ag 0.000 0.000 0.500 1
Br1 Br 0.500 0.500 0.500 1
Cl1 Cl 0.000 0.000 0.000 1

=====

No. 16
# Cs2AlAgBr6, optimized geometry, DFT PBE
# ΔE_f (raw), eV per atom: -1.220
# Energy relative to the lowest polymorph listed for this composition, meV/atom: 26
data_Cs2AlAgBr6
_space_group_name_H-M_alt 'F m -3 m'
_space_group_IT_number 225
_space_group_name_Hall '-F 4 2 3'
_cell_length_a 10.926
_cell_length_b 10.926
_cell_length_c 10.926
_cell_angle_alpha 90.00
_cell_angle_beta 90.00
_cell_angle_gamma 90.00
loop_
_atom_site_label
_atom_site_type_symbol
_atom_site_fract_x
_atom_site_fract_y
_atom_site_fract_z
_atom_site_occupancy
Cs1 Cs 0.250 0.250 0.250 1
Al1 Al 0.000 0.000 0.000 1
Ag1 Ag 0.000 0.000 0.500 1
Br1 Br 0.000 0.000 0.234 1

=====

No. 17
# Cs2AlAgBr6, optimized geometry, DFT PBE
# ΔE_f (raw), eV per atom: -1.246
# Energy relative to the lowest polymorph listed for this composition, meV/atom: 0
data_Cs2AlAgBr6
_space_group_name_H-M_alt 'P -3 m 1'
_space_group_IT_number 164
_space_group_name_Hall '-P 3 2"'
_cell_length_a 7.7358
_cell_length_b 7.7358
_cell_length_c 6.9874
_cell_angle_alpha 90.00
_cell_angle_beta 90.00
_cell_angle_gamma 120.00
loop_
_atom_site_label
_atom_site_type_symbol
_atom_site_fract_x
_atom_site_fract_y
_atom_site_fract_z
_atom_site_occupancy
Cs1 Cs 0.3333 0.6667 0.2803 1
Al1 Al 0.0000 0.0000 0.5000 1
Ag1 Ag 0.0000 0.0000 0.0000 1
Br1 Br 0.1551 0.3102 0.7118 1

=====

No. 18
# CsAl2AgBr8, optimized geometry, DFT PBE
# ΔE_f (raw), eV per atom: -1.147
data_CsAl2AgBr8
_space_group_name_H-M_alt 'P -3'
_space_group_IT_number 147
_cell_length_a 6.9621
_cell_length_b 6.9621
_cell_length_c 10.2481
_cell_angle_alpha 90.00
_cell_angle_beta 90.00
_cell_angle_gamma 120.00
loop_
_space_group_symop_operation_xyz
'x,y,z'
'-x,-y,-z'
'-y,x-y,z'
'y,-x+y,-z'
'-x+y,-x,z'
'x-y,x,-z'
loop_
_atom_site_label
_atom_site_type_symbol
_atom_site_fract_x
_atom_site_fract_y
_atom_site_fract_z
_atom_site_occupancy
Cs1 Cs 0.0000 0.0000 0.0000 1
Al1 Al 0.3333 0.6667 0.7424 1
Ag1 Ag 0.0000 0.0000 0.5000 1
Br1 Br 0.0173 0.3431 0.6733 1
Br2 Br 0.3333 0.6667 0.9696 1

=====

No. 19
# AlAg3Br2F6, optimized geometry, DFT PBE
# ΔE_f (raw), eV per atom: -1.643
data_AlAg3Br2F6
_space_group_name_H-M_alt 'C 1 2/m 1'
_space_group_IT_number 12
_cell_length_a 12.054
_cell_length_b 6.214
_cell_length_c 5.452
_cell_angle_alpha 90.00
_cell_angle_beta 93.00
_cell_angle_gamma 90.00
loop_
_space_group_symop_operation_xyz
'x,y,z'
'-x,-y,-z'
'-x,y,-z'
'x,-y,z'
'x+1/2,y+1/2,z'
'-x+1/2,-y+1/2,-z'
'-x+1/2,y+1/2,-z'
'x+1/2,-y+1/2,z'
loop_
_atom_site_label
_atom_site_type_symbol
_atom_site_fract_x
_atom_site_fract_y
_atom_site_fract_z
_atom_site_occupancy
Al1 Al 0.000 0.000 0.000 1
Ag1 Ag 0.000 0.500 0.500 1
Ag2 Ag 0.250 0.250 0.000 1
Br1 Br 0.201 0.500 0.360 1
F1 F 0.067 0.216 0.819 1
F2 F 0.122 0.000 0.205 1

=====

No. 20
# AlAgHg2Br, optimized geometry, DFT PBE
# ΔE_f (raw), eV per atom: 0.069
data_AlAgHg2Br
_space_group_name_H-M_alt 'P 4/m m m'
_space_group_IT_number 123
_space_group_name_Hall '-P 4 2'
_cell_length_a 5.425
_cell_length_b 5.425
_cell_length_c 5.085
_cell_angle_alpha 90.00
_cell_angle_beta 90.00
_cell_angle_gamma 90.00
loop_
_atom_site_label
_atom_site_type_symbol
_atom_site_fract_x
_atom_site_fract_y
_atom_site_fract_z
_atom_site_occupancy
Al1 Al 0.000 0.000 0.000 1
Ag1 Ag 0.000 0.000 0.500 1
Hg1 Hg 0.000 0.500 0.500 1
Br1 Br 0.500 0.500 0.000 1